1.
A geometry-optimized Pm6Te5S structure. Source: the Open Quantum Materials Database, functional PBE.

Unit cell a=7.6362 b=7.6362 c=7.6030 alpha=99.52 beta=99.52 gamma=119.81
Closest atoms and distances in Å follow each position.
Fractional coordinates of all 12 atoms:
Pm: 0.0724 0.3684 0.7229  1 S 2.77
Pm: 0.2154 0.2154 0.2668  1 S 2.79
Pm: 0.3684 0.0724 0.7229  1 S 2.77
Pm: 0.6316 0.9276 0.2771  1 S 2.77
Pm: 0.7846 0.7846 0.7332  1 S 2.79
Pm: 0.9276 0.6316 0.2771  1 S 2.77
Te: 0.1779 0.8221 0.0000  6 Pm 3.13-3.37
Te: 0.3360 0.6640 0.5000  6 Pm 3.15-3.17
Te: 0.5000 0.5000 0.0000  6 Pm 3.14-3.43
Te: 0.6640 0.3360 0.5000  6 Pm 3.15-3.17
Te: 0.8221 0.1779 0.0000  6 Pm 3.13-3.37
S: 0.0000 0.0000 0.5000  6 Pm 2.77-2.79

SG: C2/m (12)

2.
A geometry-optimized HoHfCd2Au4 structure. Source: the Open Quantum Materials Database, functional PBE.

Unit cell a=4.8438 b=4.8438 c=6.8389 alpha=90.00 beta=90.00 gamma=90.00
Closest atoms and distances in Å follow each position.
Fractional coordinates of all 8 atoms:
Ho: 0.0000 0.0000 0.0000  8 Au 3.03
Hf: 0.5000 0.5000 0.5000  8 Au 2.91
Cd: 0.0000 0.0000 0.5000  8 Au 2.91
Cd: 0.5000 0.5000 0.0000  8 Au 3.03
Au: 0.0000 0.5000 0.2651  2 Hf 2.91, 4 Cd 2.91-3.03, 2 Ho 3.03, 1 Au 3.21
Au: 0.0000 0.5000 0.7349  2 Hf 2.91, 4 Cd 2.91-3.03, 2 Ho 3.03, 1 Au 3.21
Au: 0.5000 0.0000 0.2651  2 Hf 2.91, 4 Cd 2.91-3.03, 2 Ho 3.03, 1 Au 3.21
Au: 0.5000 0.0000 0.7349  2 Hf 2.91, 4 Cd 2.91-3.03, 2 Ho 3.03, 1 Au 3.21

SG: P4/mmm (123)
ΔH_f (0 K) (eV/atom): -0.55

3.
A geometry-optimized Y5Er2Cu2Te2 structure. Source: the Open Quantum Materials Database, functional PBE.

Unit cell a=9.3298 b=9.3298 c=9.3298 alpha=155.47 beta=67.42 gamma=118.31
Closest atoms and distances in Å follow each position.
Fractional coordinates of all 11 atoms:
Y: 0.0000 0.0000 0.0000  3 Te 3.18-3.23
Y: 0.2856 0.4130 0.8726  2 Cu 2.89, 3 Te 3.10-3.16
Y: 0.5404 0.4130 0.1274  2 Cu 2.89, 3 Te 3.10-3.16
Y: 0.6167 0.2599 0.3569  2 Cu 2.93, 2 Te 3.12
Y: 0.9030 0.2599 0.6431  2 Cu 2.93, 2 Te 3.12
Er: 0.3031 0.6175 0.6856  2 Cu 2.82
Er: 0.9319 0.6175 0.3144  2 Cu 2.82
Cu: 0.1626 0.9256 0.2370  2 Er 2.82, 4 Y 2.89-2.93
Cu: 0.6886 0.9256 0.7630  2 Er 2.82, 4 Y 2.89-2.93
Te: 0.2602 0.7602 0.5000  6 Y 3.16-3.18, 2 Er 3.19
Te: 0.6624 0.6624 0.0000  7 Y 3.10-3.23

SG: Imm2 (44)

4.
A geometry-optimized Al5Re structure. Source: the Open Quantum Materials Database, functional PBE.

Unit cell a=4.8638 b=4.8638 c=8.8099 alpha=90.00 beta=90.00 gamma=120.00
Closest atoms and distances in Å follow each position.
Fractional coordinates of all 12 atoms:
Al: 0.0000 0.0000 0.2500  9 Al 2.77-2.81, 3 Re 2.81
Al: 0.0000 0.0000 0.7500  9 Al 2.77-2.81, 3 Re 2.81
Al: 0.0000 0.3444 0.0000  2 Re 2.72, 10 Al 2.72-2.90
Al: 0.0000 0.6556 0.5000  2 Re 2.72, 10 Al 2.72-2.90
Al: 0.3333 0.6667 0.2500  9 Al 2.72-2.81, 3 Re 2.81
Al: 0.3444 0.0000 0.0000  2 Re 2.72, 10 Al 2.72-2.90
Al: 0.3444 0.3444 0.5000  2 Re 2.72, 10 Al 2.72-2.90
Al: 0.6556 0.0000 0.5000  2 Re 2.72, 10 Al 2.72-2.90
Al: 0.6556 0.6556 0.0000  2 Re 2.72, 10 Al 2.72-2.90
Al: 0.6667 0.3333 0.7500  9 Al 2.72-2.81, 3 Re 2.81
Re: 0.3333 0.6667 0.7500  12 Al 2.72-2.81
Re: 0.6667 0.3333 0.2500  12 Al 2.72-2.81

SG: P6_322 (182)

Respective VASP energy values: -5.554 -4.220 -5.612 -5.386 eV/atom.